Below is crystalline LiTc2GeN at its relaxed geometry, with properties calculated at the GGA-PBE level.

Geometry as extended XYZ:
```
5
Lattice="4.056 0.000 0.000 0.000 4.056 0.000 0.000 0.000 3.764" Properties=species:S:1:pos:R:3 pbc="T T T"
Li 0.000 0.000 0.000
Tc 0.000 2.028 1.882
Tc 2.028 0.000 1.882
Ge 2.028 2.028 0.000
N 0.000 0.000 1.882
```

Values from the calculation:
Formation energy (no corrections)   -0.1260 eV per atom
Crystal system   tetragonal
D(E_F)   0.845 states/eV/atom